Na6Mn2B4AsO16 | PBE+U | relaxed

The crystal system is cubic. As for the electronic total energy: -186.868 eV per formula unit.

The structure belongs to space group Fd-3 (No. 203, origin choice 2); the cell edges are 14.023, 14.023 and 14.023 Å and the angles 90.00°, 90.00° and 90.00°. The inequivalent atoms are Na at (0.092, 0.375, 0.375), Mn at (0.000, 0.000, 0.500), B at (0.040, 0.040, 0.710), As at (0.125, 0.125, 0.125), O at (0.021, 0.273, 0.614) and O at (0.054, 0.054, 0.054).